[1]
The following is a PBE calculation of a geometry-optimized Sm5Y3Mg structure, from Alexandria.

## Properties
Its calculated total energy is -0.3222 Ry/atom. As for the formation energy: 13.140 kcal/mol of atoms. Its crystal system is monoclinic. The density of states at the Fermi level is 26.2 states/eV per cell. The total magnetization comes out at 0.00 μB per formula unit.

Structure (POSCAR):
```
Sm5Y3Mg
1.0
9.985 0.200 0.184
2.925 9.549 0.184
4.493 3.393 7.170
Sm Y Mg
10 6 2
Direct
0.931 0.405 0.357
0.450 0.450 0.752
0.744 0.256 0.000
0.069 0.595 0.643
0.550 0.550 0.248
0.405 0.931 0.357
0.189 0.189 0.059
0.811 0.811 0.941
0.595 0.069 0.643
0.256 0.744 0.000
0.000 0.000 0.500
0.000 0.000 0.000
0.301 0.301 0.622
0.699 0.699 0.378
0.357 0.357 0.196
0.643 0.643 0.804
0.134 0.134 0.593
0.866 0.866 0.407
```

---

[2]
The following is a PBE calculation of a geometry-optimized Sm6YMg2 structure, from Alexandria.

## Properties
Its calculated total energy is -0.2783 Ry/atom. As for the formation energy: 9.960 kcal/mol of atoms. Its crystal system is trigonal. The density of states at the Fermi level is 12.6 states/eV per cell. The total magnetization comes out at 0.00 μB per formula unit.

Structure (POSCAR):
```
Sm6YMg2
1.0
-5.138 -2.288 -4.747
-6.330 -2.805 2.498
-6.441 4.202 -0.759
Y Sm Mg
1 6 2
Direct
0.319 0.319 0.043
0.043 0.050 0.294
0.271 0.260 0.693
0.050 0.613 0.294
0.260 0.776 0.693
0.776 0.271 0.693
0.613 0.043 0.294
0.579 0.579 0.264
0.755 0.755 0.736
```

---

[3]
The following is a PBE calculation of a geometry-optimized Sm5YMg structure, from Alexandria.

## Properties
Its calculated total energy is -0.3244 Ry/atom. As for the formation energy: 2.490 kcal/mol of atoms. Its crystal system is monoclinic. The density of states at the Fermi level is 17.7 states/eV per cell. The total magnetization comes out at 0.00 μB per formula unit.

Structure (POSCAR):
```
Sm5YMg
1.0
9.637 0.000 0.000
-4.819 4.305 0.236
0.000 3.839 11.287
Y Sm Mg
2 10 2
Direct
0.493 0.000 0.250
0.507 0.000 0.750
0.393 0.414 0.653
0.021 0.414 0.153
0.453 0.228 0.961
0.225 0.772 0.539
0.547 0.772 0.039
0.137 0.000 0.250
0.863 0.000 0.750
0.607 0.586 0.347
0.775 0.228 0.461
0.979 0.586 0.847
0.000 0.000 0.500
0.000 0.000 0.000
```

---

[4]
The following is a PBE calculation of a geometry-optimized Sm3Y3Mg2 structure, from Alexandria.

## Properties
Its calculated total energy is -0.3337 Ry/atom. As for the formation energy: 1.207 kcal/mol of atoms. Its crystal system is orthorhombic. The density of states at the Fermi level is 21.7 states/eV per cell. The total magnetization comes out at 0.00 μB per formula unit.

Structure (POSCAR):
```
Sm3Y3Mg2
1.0
5.367 0.000 0.000
-2.683 5.907 0.000
0.000 0.000 15.703
Y Mg Sm
6 4 6
Direct
0.646 0.292 0.033
0.354 0.708 0.533
0.523 0.046 0.750
0.354 0.708 0.967
0.646 0.292 0.467
0.477 0.954 0.250
0.773 0.546 0.646
0.227 0.454 0.146
0.773 0.546 0.854
0.227 0.454 0.354
0.039 0.077 0.604
0.961 0.923 0.396
0.039 0.077 0.896
0.754 0.508 0.250
0.961 0.923 0.104
0.246 0.492 0.750
```

---

[5]
The following is a PBE calculation of a geometry-optimized SmY5Mg structure, from Alexandria.

## Properties
Its calculated total energy is -0.3924 Ry/atom. As for the formation energy: 4.156 kcal/mol of atoms. Its crystal system is monoclinic. The density of states at the Fermi level is 21.6 states/eV per cell. The total magnetization comes out at 0.00 μB per formula unit.

Structure (POSCAR):
```
SmY5Mg
1.0
6.588 0.000 0.000
-3.294 5.346 -1.465
0.000 1.470 12.470
Y Sm Mg
10 2 2
Direct
0.695 0.518 0.331
0.718 0.318 0.562
0.305 0.482 0.669
0.823 0.518 0.831
0.282 0.682 0.438
0.803 0.000 0.750
0.197 0.000 0.250
0.601 0.318 0.062
0.177 0.482 0.169
0.399 0.682 0.938
0.290 0.000 0.750
0.710 0.000 0.250
0.000 0.000 0.500
0.000 0.000 0.000
```

---

[6]
The following is a PBE calculation of a geometry-optimized Sm2Y6Mg structure, from Alexandria.

## Properties
Its calculated total energy is -0.4051 Ry/atom. As for the formation energy: 0.559 kcal/mol of atoms. Its crystal system is tetragonal. The density of states at the Fermi level is 28.0 states/eV per cell. The total magnetization comes out at 0.00 μB per formula unit.

Structure (POSCAR):
```
Sm2Y6Mg
1.0
5.069 0.000 0.215
0.000 10.614 0.000
-0.449 0.000 10.603
Sm Y Mg
4 12 2
Direct
0.000 0.667 0.167
0.500 0.833 0.667
0.000 0.333 0.833
0.500 0.167 0.333
0.000 0.667 0.501
0.500 0.167 0.999
0.500 0.499 0.667
0.000 0.335 0.165
0.500 0.165 0.665
0.000 0.665 0.835
0.500 0.835 0.335
0.500 0.833 0.001
0.000 0.999 0.833
0.500 0.501 0.333
0.000 0.001 0.167
0.000 0.333 0.499
0.000 0.000 0.500
0.500 0.500 0.000
```

---

[7]
The following is a PBE calculation of a geometry-optimized Sm5Y8Mg structure, from Alexandria.

## Properties
Its calculated total energy is -0.3879 Ry/atom. As for the formation energy: 4.981 kcal/mol of atoms. Its crystal system is tetragonal. The density of states at the Fermi level is 17.6 states/eV per cell. The total magnetization comes out at 0.00 μB per formula unit.

Structure (POSCAR):
```
Sm5Y8Mg
1.0
-1.395 8.162 -1.804
-4.800 -4.988 -4.890
-1.897 -1.144 8.180
Y Sm Mg
8 5 1
Direct
0.664 0.395 0.919
0.731 0.255 0.336
0.562 0.900 0.829
0.339 0.268 0.438
0.171 0.732 0.071
0.524 0.605 0.269
0.929 0.100 0.661
0.081 0.745 0.476
0.500 0.000 0.500
0.819 0.685 0.710
0.866 0.891 0.181
0.290 0.109 0.975
0.025 0.315 0.134
0.250 0.500 0.750
```

---

[8]
The following is a PBE calculation of a geometry-optimized Sm6Y3Mg structure, from Alexandria.

## Properties
Its calculated total energy is -0.3531 Ry/atom. As for the formation energy: 2.908 kcal/mol of atoms. Its crystal system is orthorhombic. The density of states at the Fermi level is 25.7 states/eV per cell. The total magnetization comes out at 0.00 μB per formula unit.

Structure (POSCAR):
```
Sm6Y3Mg
1.0
-4.746 -1.035 -2.087
4.541 -2.058 -9.303
1.136 -11.412 3.079
Y Sm Mg
6 12 2
Direct
0.000 0.383 0.789
0.500 0.500 0.000
0.500 0.882 0.711
0.000 0.000 0.500
0.500 0.118 0.289
0.000 0.617 0.211
0.000 0.327 0.422
0.500 0.827 0.078
0.000 0.073 0.752
0.500 0.427 0.252
0.500 0.573 0.748
0.000 0.717 0.884
0.000 0.927 0.248
0.000 0.283 0.116
0.000 0.673 0.578
0.500 0.173 0.922
0.500 0.217 0.616
0.500 0.783 0.384
0.000 0.000 0.000
0.500 0.500 0.500
```